1.
VASP calculation (GGA-PBE) on a geometry-optimized Pm2MgZnAu6 structure.

Cell lengths 5.214, 5.610, 7.884 Å; angles 100.44, 105.47, 102.42 degrees
Atoms (fractional coordinates):
Pm1 0.114 0.328 0.176
Pm2 0.886 0.672 0.824
Mg1 0.000 0.000 0.500
Zn1 0.500 0.000 0.000
Au1 0.286 0.318 0.841
Au2 0.293 0.608 0.579
Au3 0.331 0.901 0.292
Au4 0.669 0.099 0.708
Au5 0.707 0.392 0.421
Au6 0.714 0.682 0.159

The calculated volume is 21.00 Å³ per atom. Its total energy is -3.755 eV per atom. The density of states at the Fermi level comes out at 4.18 states/eV per cell. For the total magnetization, the calculation gives 0.000 μB per atom.

2.
VASP calculation (GGA-PBE) on a geometry-optimized Ac3Ce3PuSe8 structure.

Cell lengths 8.731, 8.731, 8.731 Å; angles 58.74, 58.74, 58.74 degrees
Atoms (fractional coordinates):
Ac1 0.000 0.500 0.500
Ac2 0.500 0.000 0.500
Ac3 0.500 0.500 0.000
Ce1 0.000 0.000 0.500
Ce2 0.000 0.500 0.000
Ce3 0.500 0.000 0.000
Pu1 0.500 0.500 0.500
Se1 0.244 0.745 0.745
Se2 0.245 0.245 0.245
Se3 0.255 0.255 0.756
Se4 0.255 0.756 0.255
Se5 0.745 0.244 0.745
Se6 0.745 0.745 0.244
Se7 0.755 0.755 0.755
Se8 0.756 0.255 0.255

The calculated volume is 30.48 Å³ per atom. Its total energy is -6.632 eV per atom. The density of states at the Fermi level comes out at 30.31 states/eV per cell. For the total magnetization, the calculation gives 0.630 μB per atom.

3.
VASP calculation (GGA-PBE) on a geometry-optimized Pr12InIr6 structure.

Cell lengths 8.983, 8.983, 8.983 Å; angles 109.47, 109.47, 109.47 degrees
Atoms (fractional coordinates):
Pr1 0.115 0.810 0.304
Pr2 0.190 0.304 0.494
Pr3 0.190 0.696 0.885
Pr4 0.304 0.115 0.810
Pr5 0.304 0.494 0.190
Pr6 0.494 0.190 0.304
Pr7 0.506 0.810 0.696
Pr8 0.696 0.506 0.810
Pr9 0.696 0.885 0.190
Pr10 0.810 0.304 0.115
Pr11 0.810 0.696 0.506
Pr12 0.885 0.190 0.696
In1 0.000 0.000 0.000
Ir1 0.124 0.624 0.500
Ir2 0.376 0.500 0.876
Ir3 0.500 0.124 0.624
Ir4 0.500 0.876 0.376
Ir5 0.624 0.500 0.124
Ir6 0.876 0.376 0.500

The calculated volume is 29.37 Å³ per atom. Its total energy is -6.421 eV per atom. The density of states at the Fermi level comes out at 14.34 states/eV per cell. For the total magnetization, the calculation gives 0.000 μB per atom.

4.
VASP calculation (GGA-PBE) on a geometry-optimized Li4HfZn5 structure.

Cell lengths 2.874, 2.874, 19.285 Å; angles 90.00, 90.00, 90.00 degrees
Atoms (fractional coordinates):
Li1 0.000 0.000 0.099
Li2 0.000 0.000 0.293
Li3 0.000 0.000 0.707
Li4 0.000 0.000 0.901
Hf1 0.000 0.000 0.500
Zn1 0.500 0.500 0.000
Zn2 0.500 0.500 0.197
Zn3 0.500 0.500 0.391
Zn4 0.500 0.500 0.609
Zn5 0.500 0.500 0.803

The calculated volume is 15.93 Å³ per atom. Its total energy is -2.531 eV per atom. The density of states at the Fermi level comes out at 4.56 states/eV per cell. For the total magnetization, the calculation gives 0.000 μB per atom.